IrPtBr (meta-GGA SCAN, single point on PBEsol structure); V = 19.155 A^3/atom; raw formation energy = 1.05 eV/atom
1.0
0.0000 3.0628 3.0628
3.0628 0.0000 3.0628
3.0628 3.0628 0.0000
Ir Pt Br
1 1 1
Cartesian
0.0000 0.0000 0.0000 Ir
1.5314 1.5314 1.5314 Pt
4.5943 4.5943 4.5943 Br

SrSiPt2 (meta-GGA SCAN, single point on PBEsol structure); V = 20.266 A^3/atom; raw formation energy = -0.57 eV/atom
1.0
-1.8381 2.7354 4.0307
1.8381 -2.7354 4.0307
1.8381 2.7354 -4.0307
Sr Si Pt
1 1 2
Cartesian
0.0000 0.0000 0.0000 Sr
0.0000 0.0000 4.0307 Si
1.8381 0.0000 2.5636 Pt
0.0000 2.7354 1.4672 Pt

NdRh (meta-GGA SCAN, single point on PBEsol structure); V = 21.928 A^3/atom; formation enthalpy at 0 K = -0.77 eV per atom
1.0
1.9536 -5.4392 0.0000
1.9536 5.4392 0.0000
0.0000 0.0000 4.1273
Nd Rh
2 2
Cartesian
1.9536 3.8946 3.0954 Nd
1.9536 -3.8946 1.0318 Nd
1.9536 0.9139 3.0954 Rh
1.9536 -0.9139 1.0318 Rh

KBaLi2 (meta-GGA SCAN, single point on PBEsol structure); V = 43.666 A^3/atom; formation enthalpy at 0 K = 0.11 eV per atom
1.0
4.6181 0.0000 0.0000
0.0000 5.4096 0.0000
-2.3057 0.0000 6.9917
K Ba Li
1 1 2
Cartesian
0.0000 0.0000 0.0000 K
-0.0021 2.7048 4.1761 Ba
2.3133 2.7048 1.2459 Li
2.3079 0.0000 2.8893 Li

KRb2CO3F (meta-GGA SCAN, single point on PBEsol structure); V = 17.664 A^3/atom; raw formation energy = -2.14 eV/atom
1.0
6.0303 -3.8124 0.0000
6.0303 3.8124 0.0000
-3.3674 0.0000 6.1468
K Rb C O F
2 4 2 6 2
Cartesian
1.1172 0.0000 2.5621 K
7.5760 0.0000 3.5847 K
-0.5292 -0.5882 5.6964 Rb
6.0303 1.0426 0.0000 Rb
4.3466 -1.6914 3.0734 Rb
9.2224 -0.5882 0.4505 Rb
4.3466 1.5945 3.0734 C
6.0303 -2.2726 0.0000 C
4.3466 2.8986 3.0734 O
3.8038 0.9419 2.0820 O
4.8895 0.9419 4.0648 O
2.1684 -1.6237 5.1300 O
6.5249 -1.6237 1.0168 O
6.0303 -3.5782 0.0000 O
0.5666 1.6039 4.5186 F
8.1267 1.6039 1.6282 F

BeRu2Pt (meta-GGA SCAN, single point on PBEsol structure); V = 12.836 A^3/atom; formation enthalpy at 0 K = -0.19 eV per atom
1.0
2.6920 0.0000 0.0000
0.0000 3.5818 0.0000
0.0000 0.0000 5.3250
Be Ru Pt
1 2 1
Cartesian
0.0000 0.0000 0.0000 Be
0.0000 0.0000 2.7622 Ru
1.3460 1.7909 3.8917 Ru
1.3460 1.7909 1.1183 Pt

Y2CrBr (meta-GGA SCAN, single point on PBEsol structure); V = 24.740 A^3/atom; raw formation energy = -0.51 eV/atom
1.0
3.4709 0.0000 0.0000
0.0000 3.4155 0.0000
-0.0241 0.0000 8.3475
Y Cr Br
2 1 1
Cartesian
0.0008 0.0000 1.7352 Y
3.4460 0.0000 6.6123 Y
1.7354 1.7078 0.0000 Cr
-0.0120 1.7078 4.1738 Br

LiEu2Cd (meta-GGA SCAN, single point on PBEsol structure); V = 28.920 A^3/atom; formation enthalpy at 0 K = -0.20 eV per atom
1.0
0.0000 3.8673 3.8673
3.8673 0.0000 3.8673
3.8673 3.8673 0.0000
Li Eu Cd
1 2 1
Cartesian
0.0000 0.0000 0.0000 Li
1.9336 1.9336 1.9336 Eu
5.8009 5.8009 5.8009 Eu
3.8673 3.8673 3.8673 Cd

MnCd2Ni (meta-GGA SCAN, single point on PBEsol structure); V = 15.603 A^3/atom; formation enthalpy at 0 K = 0.10 eV per atom
1.0
2.8470 -3.7496 0.0000
2.8470 3.7496 0.0000
0.0000 0.0000 2.9232
Mn Cd Ni
1 2 1
Cartesian
0.0000 0.0000 0.0000 Mn
1.4235 1.8748 1.4616 Cd
1.4235 -1.8748 1.4616 Cd
2.8470 0.0000 0.0000 Ni

Ti3RhC (meta-GGA SCAN, single point on PBEsol structure); V = 13.777 A^3/atom; formation enthalpy at 0 K = -0.66 eV per atom
1.0
4.0992 0.0000 0.0000
0.0000 4.0992 0.0000
0.0000 0.0000 4.0992
Ti Rh C
3 1 1
Cartesian
0.0000 0.0000 2.0496 Ti
0.0000 2.0496 0.0000 Ti
2.0496 0.0000 0.0000 Ti
2.0496 2.0496 2.0496 Rh
0.0000 0.0000 0.0000 C

Zr3Zn (meta-GGA SCAN, single point on PBEsol structure); V = 19.906 A^3/atom; formation enthalpy at 0 K = -0.13 eV per atom
1.0
4.4728 0.0000 0.0000
0.0000 3.7946 0.0000
0.0000 0.0000 9.3830
Zr Zn
6 2
Cartesian
1.1182 0.0000 1.0571 Zr
1.1182 0.0000 6.1460 Zr
1.1182 1.8973 3.6207 Zr
3.3546 0.0000 3.2370 Zr
3.3546 0.0000 8.3259 Zr
3.3546 1.8973 5.7623 Zr
1.1182 1.8973 8.2420 Zn
3.3546 1.8973 1.1410 Zn

LaScZn (meta-GGA SCAN, single point on PBEsol structure); V = 24.805 A^3/atom; formation enthalpy at 0 K = -0.02 eV per atom
1.0
3.4280 0.0000 0.0000
-1.7140 2.9687 0.0000
0.0000 0.0000 7.3123
La Sc Zn
1 1 1
Cartesian
0.0000 0.0000 0.0000 La
0.0000 1.9791 4.4313 Sc
1.7140 0.9896 2.4305 Zn

CsBeAs2Br (meta-GGA SCAN, single point on PBEsol structure); V = 74.203 A^3/atom; raw formation energy = 1.32 eV/atom
1.0
7.5628 0.0000 0.0000
0.0000 7.5628 0.0000
0.0000 0.0000 6.4867
Cs Be As Br
1 1 2 1
Cartesian
0.0000 0.0000 0.0000 Cs
3.7814 3.7814 3.2434 Be
0.0000 3.7814 0.0000 As
3.7814 0.0000 0.0000 As
0.0000 0.0000 3.2434 Br

Na4Al3Si7H8O24 (meta-GGA SCAN, single point on PBEsol structure); V = 12.361 A^3/atom; final energy = -399.635 eV for the cell shown
1.0
6.5904 0.0000 0.0000
3.2747 9.2357 0.0000
3.2899 -0.0884 9.3417
Na Al Si H O
4 3 7 8 24
Cartesian
0.0000 0.0000 0.0000 Na
4.8734 4.5172 5.8214 Na
3.2073 1.0842 1.0947 Na
8.1587 5.5397 4.7214 Na
3.2358 4.4120 2.3303 Al
6.5049 5.7906 8.1850 Al
4.8788 1.1492 7.0031 Al
4.9197 3.2914 9.1792 Si
3.2638 2.2070 4.5208 Si
6.5280 7.9150 5.9820 Si
8.1217 8.9893 3.5581 Si
5.7598 5.1582 0.5868 Si
8.2308 6.8780 1.3720 Si
7.3866 0.4458 5.2574 Si
4.4501 8.6360 2.5068 H
5.4051 7.7943 1.5534 H
5.9499 4.2290 3.2239 H
6.8742 3.1912 4.0163 H
7.6793 1.3684 7.9584 H
9.2354 5.9329 7.2727 H
8.6156 2.3185 8.8453 H
10.1596 6.9143 6.4115 H
4.9841 8.3664 5.6127 O
3.2121 3.7154 3.9404 O
2.4756 3.3062 1.2211 O
4.8272 1.7520 8.6449 O
4.0894 2.2588 5.9053 O
5.5991 4.2888 8.0882 O
4.9071 8.6503 1.6315 O
7.2260 8.8903 7.0646 O
6.4781 6.3822 6.5119 O
4.0026 1.1622 3.4442 O
4.9027 4.7085 1.8875 O
7.3970 7.9041 4.5559 O
8.1829 5.5395 8.6403 O
6.4485 4.0769 4.0806 O
6.5686 0.9076 6.5689 O
6.6679 6.4581 1.0620 O
8.1362 8.4136 2.0184 O
8.1600 1.4426 8.8304 O
6.4075 0.0018 3.9980 O
6.6713 3.8740 0.1317 O
9.7315 6.0272 6.4063 O
8.8976 5.8997 2.4738 O
8.2983 1.6859 4.6937 O
12.3528 6.9146 9.3292 O

CaMoBr3 (meta-GGA SCAN, single point on PBEsol structure); V = 32.872 A^3/atom; raw formation energy = -0.57 eV/atom
1.0
5.4777 0.0000 0.0000
0.0000 5.4777 0.0000
0.0000 0.0000 5.4777
Ca Mo Br
1 1 3
Cartesian
0.0000 0.0000 0.0000 Ca
2.7388 2.7388 2.7388 Mo
0.0000 0.0000 2.7388 Br
0.0000 2.7388 0.0000 Br
2.7388 0.0000 0.0000 Br

KLaRe2 (meta-GGA SCAN, single point on PBEsol structure); V = 19.636 A^3/atom; formation enthalpy at 0 K = 1.24 eV per atom
1.0
3.8335 0.0000 0.0000
0.0000 3.8335 0.0000
0.0000 0.0000 5.3448
K La Re
1 1 2
Cartesian
0.0000 0.0000 0.0000 K
1.9167 1.9167 0.0000 La
0.0000 1.9167 2.6724 Re
1.9167 0.0000 2.6724 Re

ZrHgSe2 (meta-GGA SCAN, single point on PBEsol structure); V = 25.018 A^3/atom; raw formation energy = -1.11 eV/atom
1.0
3.1928 -1.8431 0.0000
3.1928 1.8431 0.0000
-2.1185 0.0000 8.5026
Zr Hg Se
1 1 2
Cartesian
0.0000 0.0000 0.0000 Zr
2.1336 0.0000 4.2513 Hg
0.0098 0.0000 6.8801 Se
4.2573 0.0000 1.6225 Se

ScCdNi2Hg (meta-GGA SCAN, single point on PBEsol structure); V = 20.745 A^3/atom; formation enthalpy at 0 K = 0.87 eV per atom
1.0
4.4372 0.0000 0.0000
0.0000 4.4372 0.0000
0.0000 0.0000 5.2683
Sc Cd Ni Hg
1 1 2 1
Cartesian
0.0000 0.0000 0.0000 Sc
2.2186 2.2186 2.6341 Cd
0.0000 2.2186 0.0000 Ni
2.2186 0.0000 0.0000 Ni
0.0000 0.0000 2.6341 Hg

YTaCo2 (meta-GGA SCAN, single point on PBEsol structure); V = 15.776 A^3/atom; formation enthalpy at 0 K = -0.17 eV per atom
1.0
3.0558 0.0000 0.0000
0.0000 3.0558 0.0000
0.0000 0.0000 6.7577
Y Ta Co
1 1 2
Cartesian
0.0000 0.0000 0.0000 Y
0.0000 0.0000 3.3788 Ta
1.5279 1.5279 2.0308 Co
1.5279 1.5279 4.7269 Co

AsPb3 (meta-GGA SCAN, single point on PBEsol structure); V = 28.047 A^3/atom; formation enthalpy at 0 K = 0.06 eV per atom
1.0
7.0707 0.0000 0.0000
0.0000 9.3930 0.0000
0.0000 0.0000 6.7569
As Pb
4 12
Cartesian
0.7516 2.3483 0.5552 As
2.7837 7.0448 3.9336 As
4.2870 2.3483 2.8233 As
6.3190 7.0448 6.2017 As
0.0469 7.0448 2.3158 Pb
1.5396 5.1744 5.8636 Pb
1.5396 8.9152 5.8636 Pb
1.9957 0.4779 2.4851 Pb
1.9957 4.2186 2.4851 Pb
3.4884 2.3483 5.6943 Pb
3.5823 7.0448 1.0626 Pb
5.0750 5.1744 4.2717 Pb
5.0750 8.9152 4.2717 Pb
5.5310 0.4779 0.8933 Pb
5.5310 4.2186 0.8933 Pb
7.0237 2.3483 4.4410 Pb

AgHg2P (meta-GGA SCAN, single point on PBEsol structure); V = 21.013 A^3/atom; formation enthalpy at 0 K = 0.27 eV per atom
1.0
1.9603 1.1318 6.3138
-1.9603 1.1318 6.3138
0.0000 -2.2636 6.3138
Ag Hg P
1 2 1
Cartesian
0.0000 0.0000 0.0000 Ag
0.0000 0.0000 10.0195 Hg
0.0000 0.0000 14.4131 Hg
0.0000 0.0000 5.2540 P

AgHg2Au (meta-GGA SCAN, single point on PBEsol structure); V = 18.715 A^3/atom; formation enthalpy at 0 K = 0.07 eV per atom
1.0
-2.1262 2.1262 4.1400
2.1262 -2.1262 4.1400
2.1262 2.1262 -4.1400
Ag Hg Au
1 2 1
Cartesian
0.0000 0.0000 0.0000 Ag
2.1262 0.0000 2.0700 Hg
0.0000 2.1262 2.0700 Hg
0.0000 0.0000 4.1400 Au

AsPdN2 (meta-GGA SCAN, single point on PBEsol structure); V = 12.199 A^3/atom; raw formation energy = 0.65 eV/atom
1.0
-2.4392 2.4392 4.1007
2.4392 -2.4392 4.1007
2.4392 2.4392 -4.1007
As Pd N
2 2 4
Cartesian
0.0000 0.0000 0.0000 As
0.0000 2.4392 2.0504 As
2.4392 0.0000 2.0504 Pd
0.0000 0.0000 4.1007 Pd
3.6588 0.9250 -1.0252 N
0.9250 1.2196 1.0252 N
-1.2196 1.5142 3.0755 N
1.5142 1.2196 5.1259 N

LiGaTcPb2 (meta-GGA SCAN, single point on PBEsol structure); V = 26.986 A^3/atom; formation enthalpy at 0 K = 0.18 eV per atom
1.0
5.2615 0.0000 0.0000
0.0000 5.2615 0.0000
0.0000 0.0000 4.8739
Li Ga Tc Pb
1 1 1 2
Cartesian
0.0000 0.0000 0.0000 Li
2.6308 2.6308 0.0000 Ga
2.6308 2.6308 2.4370 Tc
0.0000 2.6308 2.4370 Pb
2.6308 0.0000 2.4370 Pb

LiYZnSe2 (meta-GGA SCAN, single point on PBEsol structure); V = 20.449 A^3/atom; raw formation energy = -0.22 eV/atom
1.0
4.5979 0.0000 0.0000
0.0000 4.5979 0.0000
0.0000 0.0000 4.8364
Li Y Zn Se
1 1 1 2
Cartesian
0.0000 0.0000 0.0000 Li
0.0000 0.0000 2.4182 Y
2.2989 2.2989 2.4182 Zn
0.0000 2.2989 0.0000 Se
2.2989 0.0000 0.0000 Se

KReSCl2 (meta-GGA SCAN, single point on PBEsol structure); V = 22.258 A^3/atom; raw formation energy = -0.66 eV/atom
1.0
4.9981 0.0000 0.0000
0.0000 4.9981 0.0000
0.0000 0.0000 4.4551
K Re S Cl
1 1 1 2
Cartesian
0.0000 0.0000 0.0000 K
2.4990 2.4990 2.2275 Re
2.4990 2.4990 0.0000 S
0.0000 2.4990 2.2275 Cl
2.4990 0.0000 2.2275 Cl